Below is a relaxed structure of HgP2WO, with properties calculated at the GGA+U level. Values from VASP.

```
&SYSTEM
  ibrav = 0, nat = 5, ntyp = 4
/
ATOMIC_SPECIES
P 30.97 P.upf
W 183.84 W.upf
Hg 200.59 Hg.upf
O 16.00 O.upf
CELL_PARAMETERS angstrom
-0.0323 -3.3444 -3.7179
4.9340 -0.6270 0.5212
-0.6697 -3.0125 2.7156
ATOMIC_POSITIONS angstrom
P -0.0161 -1.6722 -1.8590
P 2.4670 -0.3135 0.2606
W 2.1160 -3.4919 -0.2406
Hg 0.0000 0.0000 0.0000
O -0.3348 -1.5062 1.3578
```

Summary:
The mass density is 7.5 g/cm³. The value obtained for the total DFT energy (no corrections) is -3.316 eV per atom.